VASP calculation (PBE-GGA) on crystalline MnTlW2 at its relaxed geometry.

Calculated values
N(E_F): 3.18 states/eV/cell
Energy relative to the lowest polymorph listed for this composition: 313 meV per atom
ΔH_f (0 K): 0.847 eV/atom
Raw total energy: -8.514 eV per atom

abc: 5.1972 5.1972 2.8131
angles: 90.00 90.00 115.97
Sites, in units of the cell vectors:
W: 0.0000 0.0000 0.0000
W: 0.5000 0.5000 0.0000
Mn: 0.5000 0.0000 0.5000
Tl: 0.0000 0.5000 0.5000

VASP calculation (PBE-GGA) on crystalline MnTlW2 at its relaxed geometry.

Calculated values
N(E_F): 3.57 states/eV/cell
Energy relative to the lowest polymorph listed for this composition: 76 meV per atom
ΔH_f (0 K): 0.610 eV/atom
Raw total energy: -8.750 eV per atom

abc: 2.8758 2.8758 7.9613
angles: 90.00 90.00 90.00
Sites, in units of the cell vectors:
Mn: 0.5000 0.5000 0.2500
W: 0.0000 0.0000 0.0494
W: 0.0000 0.0000 0.4506
Tl: 0.5000 0.5000 0.7500

VASP calculation (PBE-GGA) on crystalline MnTl2W at its relaxed geometry.

Calculated values
N(E_F): 3.99 states/eV/cell
Energy relative to the lowest polymorph listed for this composition: 0 meV per atom
ΔH_f (0 K): 0.555 eV/atom
Raw total energy: -6.159 eV per atom

abc: 3.0698 3.0519 8.7061
angles: 79.95 90.00 90.00
Sites, in units of the cell vectors:
W: 0.0000 0.4057 0.5596
Mn: 0.5000 0.8382 0.7024
Tl: 0.0000 0.2165 0.9454
Tl: 0.5000 0.0395 0.2926

VASP calculation (PBE-GGA) on crystalline MnTl2W at its relaxed geometry.

Calculated values
N(E_F): 2.66 states/eV/cell
Energy relative to the lowest polymorph listed for this composition: 583 meV per atom
ΔH_f (0 K): 1.138 eV/atom
Raw total energy: -5.576 eV per atom

abc: 4.8582 4.8582 4.8582
angles: 60.00 60.00 60.00
Sites, in units of the cell vectors:
Tl: 0.0000 0.0000 0.0000
Tl: 0.2500 0.2500 0.2500
W: 0.7500 0.7500 0.7500
Mn: 0.5000 0.5000 0.5000

VASP calculation (PBE-GGA) on crystalline MnTl2W at its relaxed geometry.

Calculated values
N(E_F): 2.83 states/eV/cell
Energy relative to the lowest polymorph listed for this composition: 369 meV per atom
ΔH_f (0 K): 0.924 eV/atom
Raw total energy: -5.789 eV per atom

abc: 2.9789 2.9789 8.7662
angles: 90.00 90.00 90.00
Sites, in units of the cell vectors:
Tl: 0.0000 0.0000 0.5074
Tl: 0.0000 0.0000 0.9926
W: 0.5000 0.5000 0.2500
Mn: 0.5000 0.5000 0.7500

VASP calculation (PBE-GGA) on crystalline MnTl2W at its relaxed geometry.

Calculated values
N(E_F): 2.83 states/eV/cell
Energy relative to the lowest polymorph listed for this composition: 302 meV per atom
ΔH_f (0 K): 0.857 eV/atom
Raw total energy: -5.857 eV per atom

abc: 9.6918 9.6918 9.6918
angles: 18.29 18.29 18.29
Sites, in units of the cell vectors:
W: 0.2500 0.2500 0.2500
Mn: 0.7500 0.7500 0.7500
Tl: 0.4981 0.4981 0.4981
Tl: 0.0019 0.0019 0.0019

VASP calculation (PBE-GGA) on crystalline Mn2TlW2 at its relaxed geometry.

Calculated values
N(E_F): 8.11 states/eV/cell
ΔH_f (0 K): 0.555 eV/atom
Raw total energy: -8.768 eV per atom

abc: 7.3230 7.3230 2.8942
angles: 90.00 90.00 90.00
Sites, in units of the cell vectors:
Tl: 0.5000 0.5000 0.0000
Tl: 0.0000 0.0000 0.0000
Mn: 0.1323 0.3677 0.0000
Mn: 0.3677 0.8677 0.0000
Mn: 0.6323 0.1323 0.0000
Mn: 0.8677 0.6323 0.0000
W: 0.1516 0.6516 0.5000
W: 0.6516 0.8484 0.5000
W: 0.8484 0.3484 0.5000
W: 0.3484 0.1516 0.5000

VASP calculation (PBE-GGA) on crystalline MnTlW2 at its relaxed geometry.

Calculated values
N(E_F): 3.64 states/eV/cell
Energy relative to the lowest polymorph listed for this composition: 231 meV per atom
ΔH_f (0 K): 0.765 eV/atom
Raw total energy: -8.595 eV per atom

abc: 9.2711 9.2711 9.2711
angles: 18.11 18.11 18.11
Sites, in units of the cell vectors:
Mn: 0.2500 0.2500 0.2500
W: 0.5103 0.5103 0.5103
W: 0.9897 0.9897 0.9897
Tl: 0.7500 0.7500 0.7500